Entry 1:
{
  "formula": "KNdInSe3",
  "functional": "PBE-GGA",
  "state": "optimized geometry",
  "lattice_angstrom": [[-4.707, -0.402, 0.145], [0.632, -4.709, 7.459], [-0.734, 9.674, 3.014]],
  "species": ["K", "K", "Se", "Se", "Se", "Se", "Se", "Se", "Nd", "Nd", "In", "In"],
  "fractional_positions": [[0.250, 0.206, 0.223], [0.750, 0.794, 0.777], [0.250, 0.541, 0.845], [0.250, 0.104, 0.855], [0.750, 0.896, 0.145], [0.250, 0.766, 0.457], [0.750, 0.234, 0.543], [0.750, 0.459, 0.155], [0.250, 0.666, 0.138], [0.750, 0.334, 0.862], [0.750, 0.889, 0.407], [0.250, 0.111, 0.593]],
  "formation_energy_uncorrected_kj_per_mol_fu": -681
}

Entry 2:
{
  "formula": "PmNd3Os",
  "functional": "PBE-GGA",
  "state": "optimized geometry",
  "lattice_angstrom": [[5.618, 0.000, 0.000], [0.000, 5.618, 0.000], [0.000, 0.000, 5.618]],
  "species": ["Os", "Nd", "Nd", "Nd", "Pm"],
  "fractional_positions": [[0.000, 0.000, 0.000], [0.000, 0.500, 0.000], [0.000, 0.000, 0.500], [0.500, 0.000, 0.000], [0.500, 0.500, 0.500]],
  "formation_enthalpy_0k_ev_per_atom": 0.136,
  "de_polymorph_mev_per_atom": 213
}

Entry 3:
{
  "formula": "Ce6Pu2Tl",
  "functional": "PBE-GGA",
  "state": "optimized geometry",
  "lattice_angstrom": [[4.564, 0.000, 0.000], [0.000, 9.628, 4.249], [0.000, -0.016, 10.524]],
  "species": ["Ce", "Ce", "Ce", "Ce", "Ce", "Ce", "Ce", "Ce", "Ce", "Ce", "Ce", "Ce", "Pu", "Pu", "Pu", "Pu", "Tl", "Tl"],
  "fractional_positions": [[0.250, 0.843, 0.996], [0.750, 0.502, 0.709], [0.250, 0.010, 0.587], [0.250, 0.498, 0.291], [0.250, 0.004, 0.157], [0.750, 0.291, 0.498], [0.250, 0.709, 0.502], [0.750, 0.157, 0.004], [0.750, 0.996, 0.843], [0.750, 0.587, 0.010], [0.250, 0.413, 0.990], [0.750, 0.990, 0.413], [0.250, 0.752, 0.719], [0.750, 0.719, 0.752], [0.250, 0.281, 0.248], [0.750, 0.248, 0.281], [0.750, 0.748, 0.252], [0.250, 0.252, 0.748]],
  "formation_enthalpy_0k_ev_per_atom": -0.103
}

Entry 4:
{
  "formula": "K2NaPdF6",
  "functional": "PBE-GGA",
  "state": "optimized geometry",
  "lattice_angstrom": [[-3.460, -4.783, -1.445], [2.442, -5.561, -0.223], [-2.578, -4.829, 9.373]],
  "species": ["F", "F", "F", "F", "F", "F", "F", "F", "F", "F", "F", "F", "Na", "Na", "Pd", "Pd", "K", "K", "K", "K"],
  "fractional_positions": [[0.621, 0.621, 0.621], [0.193, 0.729, 0.885], [0.621, 0.137, 0.621], [0.193, 0.193, 0.885], [0.807, 0.271, 0.115], [0.379, 0.863, 0.379], [0.137, 0.621, 0.621], [0.863, 0.379, 0.379], [0.379, 0.379, 0.379], [0.271, 0.807, 0.115], [0.807, 0.807, 0.115], [0.729, 0.193, 0.885], [0.592, 0.592, 0.223], [0.408, 0.408, 0.777], [0.500, 0.500, 0.500], [0.000, 0.000, 0.000], [0.723, 0.723, 0.831], [0.865, 0.865, 0.406], [0.135, 0.135, 0.594], [0.277, 0.277, 0.169]],
  "formation_energy_uncorrected_kj_per_mol_fu": -2133
}

Entry 5:
{
  "formula": "PmPr5Bi4",
  "functional": "PBE-GGA",
  "state": "optimized geometry",
  "lattice_angstrom": [[4.544, 0.000, 0.000], [0.000, 8.869, -0.668], [-2.272, -1.970, 9.667]],
  "species": ["Pm", "Bi", "Bi", "Bi", "Bi", "Pr", "Pr", "Pr", "Pr", "Pr"],
  "fractional_positions": [[0.500, 0.000, 0.000], [0.669, 0.088, 0.338], [0.008, 0.254, 0.016], [0.331, 0.912, 0.662], [0.992, 0.746, 0.984], [0.823, 0.649, 0.647], [0.500, 0.500, 0.000], [0.177, 0.351, 0.353], [0.163, 0.824, 0.326], [0.837, 0.176, 0.674]],
  "formation_enthalpy_0k_ev_per_atom": -0.582
}

Entry 6:
{
  "formula": "RbNa2Hg8",
  "functional": "PBE-GGA",
  "state": "optimized geometry",
  "lattice_angstrom": [[5.305, 0.340, -1.607], [-0.419, 6.237, -3.020], [-0.440, 0.429, 9.712]],
  "species": ["Hg", "Hg", "Hg", "Hg", "Hg", "Hg", "Hg", "Hg", "Na", "Na", "Rb"],
  "fractional_positions": [[0.237, 0.567, 0.000], [0.139, 0.922, 0.290], [0.861, 0.078, 0.710], [0.763, 0.433, 0.000], [0.151, 0.367, 0.290], [0.849, 0.633, 0.710], [0.287, 0.787, 0.575], [0.713, 0.213, 0.425], [0.678, 0.678, 0.357], [0.322, 0.322, 0.643], [0.500, 0.000, 0.000]],
  "formation_enthalpy_0k_ev_per_atom": -0.199
}

| no. | size of the total moment (μB/cell) | total energy (eV/cell) |
| --- | --- | --- |
| 1 | 0.0 | -52.24 |
| 2 | 0.8 | -29.60 |
| 3 | 0.5 | -135.12 |
| 4 | 2.0 | -84.08 |
| 5 | 0.0 | -49.99 |
| 6 | 0.0 | -8.21 |